Entry 1:
# K5Sn2Te6

Crystalline K5Sn2Te6 at its relaxed geometry (PBE, Alexandria).

Values from the calculation:
**Spin magnetization**: 0.0 Bohr magnetons per cell
**Total energy**: -0.11938 hartree per atom
**N(E_F)**: 0.19 states/eV per atom
**Crystal system**: orthorhombic
**Raw formation energy**: -0.76 eV per atom
**Symmetry**: No. 55

Cell: 4.990 13.617 15.897 Å, 90.00 90.00 90.00°
Positions (direct):
Te 0.500 0.683 0.816
Te 0.000 0.347 0.892
Te 0.000 0.978 0.103
Te 0.500 0.817 0.316
Te 0.000 0.847 0.608
Te 0.500 0.183 0.684
Te 0.000 0.153 0.392
Te 0.000 0.653 0.108
Te 0.000 0.478 0.397
Te 0.500 0.317 0.184
Te 0.000 0.522 0.603
Te 0.000 0.022 0.897
K 0.500 0.000 0.500
K 0.500 0.500 0.000
K 0.500 0.433 0.746
K 0.500 0.567 0.254
K 0.500 0.824 0.009
K 0.500 0.324 0.491
K 0.500 0.933 0.754
K 0.500 0.176 0.991
K 0.500 0.067 0.246
K 0.500 0.676 0.509
Sn 0.000 0.318 0.284
Sn 0.000 0.682 0.716
Sn 0.000 0.182 0.784
Sn 0.000 0.818 0.216

Entry 2:
# Sr2Cd6CuRh

Crystalline Sr2Cd6CuRh at its relaxed geometry (PBE, Alexandria).

Values from the calculation:
**Spin magnetization**: 0.0 Bohr magnetons per cell
**Total energy**: -0.08179 hartree per atom
**N(E_F)**: 0.57 states/eV per atom
**Crystal system**: orthorhombic
**Formation enthalpy at 0 K**: -195 meV per atom
**Symmetry**: No. 59

Cell: 7.812 6.920 9.670 Å, 90.00 90.00 90.00°
Positions (direct):
Cu 0.500 0.416 0.000
Cu 0.000 0.584 0.500
Cd 0.500 0.265 0.249
Cd 0.201 0.906 0.500
Cd 0.704 0.419 0.500
Cd 0.796 0.581 0.000
Cd 0.500 0.265 0.751
Cd 0.299 0.094 0.000
Cd 0.000 0.735 0.749
Cd 0.296 0.419 0.500
Cd 0.799 0.906 0.500
Cd 0.701 0.094 0.000
Cd 0.204 0.581 0.000
Cd 0.000 0.735 0.251
Sr 0.500 0.770 0.749
Sr 0.000 0.230 0.249
Sr 0.500 0.770 0.251
Sr 0.000 0.230 0.751
Rh 0.500 0.094 0.500
Rh 0.000 0.906 0.000

Entry 3:
# PmZrZnHg

Crystalline PmZrZnHg at its relaxed geometry (PBE, Alexandria).

Values from the calculation:
**Spin magnetization**: 0.7 Bohr magnetons per cell
**Total energy**: -0.14332 hartree per atom
**N(E_F)**: 1.34 states/eV per atom
**Crystal system**: cubic
**Formation enthalpy at 0 K**: -181 meV per atom
**Symmetry**: No. 216

Cell: 5.089 5.089 5.089 Å, 60.00 60.00 60.00°
Last column: magnetic moment on the atom in μB.
Positions (direct):
Pm 0.500 0.500 0.500  0.11
Zr 0.000 0.000 0.000  0.29
Zn 0.250 0.250 0.250  0.01
Hg 0.750 0.750 0.750  0.01

Entry 4:
# Yb3Co4Sn13

Crystalline Yb3Co4Sn13 at its relaxed geometry (PBE, Alexandria).

Values from the calculation:
**Spin magnetization**: 1.1 Bohr magnetons per cell
**Total energy**: -0.16777 hartree per atom
**N(E_F)**: 2.24 states/eV per atom
**Crystal system**: cubic
**Formation enthalpy at 0 K**: -313 meV per atom
**Symmetry**: No. 223

Cell: 9.592 9.592 9.592 Å, 90.00 90.00 90.00°
Last column: magnetic moment on the atom in μB.
Positions (direct):
Sn 0.842 0.000 0.698  0.00
Sn 0.342 0.802 0.500  0.00
Sn 0.500 0.342 0.802  0.00
Sn 0.500 0.658 0.198  0.00
Sn 0.500 0.500 0.500  0.00
Sn 0.802 0.500 0.658  0.00
Sn 0.000 0.302 0.842  0.00
Sn 0.000 0.000 0.000  0.00
Sn 0.302 0.158 0.000  0.00
Sn 0.000 0.302 0.158  0.00
Sn 0.342 0.198 0.500  0.00
Sn 0.000 0.698 0.842  0.00
Sn 0.198 0.500 0.342  0.00
Sn 0.658 0.802 0.500  0.00
Sn 0.698 0.842 0.000  0.00
Sn 0.842 0.000 0.302  0.00
Sn 0.158 0.000 0.302  0.00
Sn 0.802 0.500 0.342  0.00
Sn 0.658 0.198 0.500  0.00
Sn 0.198 0.500 0.658  0.00
Sn 0.698 0.158 0.000  0.00
Sn 0.500 0.658 0.802  0.00
Sn 0.158 0.000 0.698  0.00
Sn 0.500 0.342 0.198  0.00
Sn 0.302 0.842 0.000  0.00
Sn 0.000 0.698 0.158  0.00
Yb 0.000 0.750 0.500  0.17
Yb 0.250 0.500 0.000  0.17
Yb 0.000 0.250 0.500  0.17
Yb 0.750 0.500 0.000  0.17
Yb 0.500 0.000 0.250  0.17
Yb 0.500 0.000 0.750  0.17
Co 0.750 0.250 0.250  0.01
Co 0.750 0.250 0.750  0.01
Co 0.750 0.750 0.250  0.01
Co 0.250 0.750 0.250  0.01
Co 0.250 0.750 0.750  0.01
Co 0.250 0.250 0.750  0.01
Co 0.750 0.750 0.750  0.01
Co 0.250 0.250 0.250  0.01

Entry 5:
# AcThGa2Rh5

Crystalline AcThGa2Rh5 at its relaxed geometry (PBE, Alexandria).

Values from the calculation:
**Spin magnetization**: 0.0 Bohr magnetons per cell
**Total energy**: -0.24527 hartree per atom
**N(E_F)**: 0.22 states/eV per atom
**Crystal system**: tetragonal
**Formation enthalpy at 0 K**: -636 meV per atom
**Symmetry**: No. 123

Cell: 4.591 4.591 8.142 Å, 90.00 90.00 90.00°
Positions (direct):
Rh 0.000 0.500 0.248
Rh 0.500 0.500 0.500
Rh 0.000 0.500 0.752
Rh 0.500 0.000 0.752
Rh 0.500 0.000 0.248
Th 0.000 0.000 0.000
Ga 0.500 0.500 0.839
Ga 0.500 0.500 0.161
Ac 0.000 0.000 0.500

Entry 6:
# InAuO2

Crystalline InAuO2 at its relaxed geometry (PBE, Alexandria).

Values from the calculation:
**Spin magnetization**: 0.0 Bohr magnetons per cell
**Total energy**: -0.18232 hartree per atom
**N(E_F)**: 0.03 states/eV per atom
**Crystal system**: hexagonal
**Raw formation energy**: -0.98 eV per atom
**Symmetry**: No. 194

Cell: 3.370 3.370 12.552 Å, 90.00 90.00 120.00°
Positions (direct):
O 0.333 0.667 0.084
O 0.667 0.333 0.916
O 0.333 0.667 0.416
O 0.667 0.333 0.584
Au 0.333 0.667 0.250
Au 0.667 0.333 0.750
In 0.000 0.000 0.500
In 0.000 0.000 0.000